# Li2SiPt2

An optimized crystal structure of Li2SiPt2 (GGA-PBEsol, the Alexandria database).

Structure (CIF):
```
data_Li2SiPt2
_cell_length_a 6.101
_cell_length_b 6.101
_cell_length_c 4.137
_cell_angle_alpha 90.00
_cell_angle_beta 90.00
_cell_angle_gamma 90.00
_space_group_name_H-M_alt 'P 1'
_space_group_IT_number 1
_space_group_name_Hall 'P 1'
loop_
_atom_site_label
_atom_site_fract_x
_atom_site_fract_y
_atom_site_fract_z
_atom_site_occupancy
Li1 0.158 0.342 0.000 1
Li2 0.342 0.842 0.000 1
Li3 0.658 0.158 0.000 1
Li4 0.842 0.658 0.000 1
Si1 0.000 0.000 0.500 1
Si2 0.500 0.500 0.500 1
Pt1 0.152 0.652 0.500 1
Pt2 0.348 0.152 0.500 1
Pt3 0.652 0.848 0.500 1
Pt4 0.848 0.348 0.500 1
```

Calculated values
total energy = -5.302 eV/atom

---

# Y2AgCl

An optimized crystal structure of Y2AgCl (GGA-PBEsol, the Alexandria database).

Structure (CIF):
```
data_Y2AgCl
_cell_length_a 5.263
_cell_length_b 5.263
_cell_length_c 3.441
_cell_angle_alpha 90.00
_cell_angle_beta 90.00
_cell_angle_gamma 90.00
_space_group_name_H-M_alt 'P 1'
_space_group_IT_number 1
_space_group_name_Hall 'P 1'
loop_
_atom_site_label
_atom_site_fract_x
_atom_site_fract_y
_atom_site_fract_z
_atom_site_occupancy
Y1 0.000 0.500 0.000 1
Y2 0.500 0.000 0.000 1
Ag1 0.000 0.000 0.500 1
Cl1 0.500 0.500 0.000 1
```

Calculated values
total energy = -5.553 eV/atom

---

# CaAlIr2

An optimized crystal structure of CaAlIr2 (GGA-PBEsol, the Alexandria database).

Structure (CIF):
```
data_CaAlIr2
_cell_length_a 8.764
_cell_length_b 8.764
_cell_length_c 8.764
_cell_angle_alpha 19.25
_cell_angle_beta 19.25
_cell_angle_gamma 19.25
_space_group_name_H-M_alt 'P 1'
_space_group_IT_number 1
_space_group_name_Hall 'P 1'
loop_
_atom_site_label
_atom_site_fract_x
_atom_site_fract_y
_atom_site_fract_z
_atom_site_occupancy
Ca1 0.000 0.000 0.000 1
Al1 0.500 0.500 0.500 1
Ir1 0.241 0.241 0.241 1
Ir2 0.759 0.759 0.759 1
```

Calculated values
energy relative to the elements = -0.165 eV per atom

---

# AgTe2Br

An optimized crystal structure of AgTe2Br (GGA-PBEsol, the Alexandria database).

Structure (CIF):
```
data_AgTe2Br
_cell_length_a 3.976
_cell_length_b 3.976
_cell_length_c 8.119
_cell_angle_alpha 90.00
_cell_angle_beta 90.00
_cell_angle_gamma 90.00
_space_group_name_H-M_alt 'P 1'
_space_group_IT_number 1
_space_group_name_Hall 'P 1'
loop_
_atom_site_label
_atom_site_fract_x
_atom_site_fract_y
_atom_site_fract_z
_atom_site_occupancy
Ag1 0.000 0.000 0.000 1
Te1 0.000 0.000 0.342 1
Te2 0.500 0.500 0.456 1
Br1 0.500 0.500 0.943 1
```

Calculated values
total energy = -3.091 eV/atom

---

# BaSr4Ta

An optimized crystal structure of BaSr4Ta (GGA-PBEsol, the Alexandria database).

Structure (CIF):
```
data_BaSr4Ta
_cell_length_a 7.148
_cell_length_b 7.148
_cell_length_c 7.148
_cell_angle_alpha 60.00
_cell_angle_beta 60.00
_cell_angle_gamma 60.00
_space_group_name_H-M_alt 'P 1'
_space_group_IT_number 1
_space_group_name_Hall 'P 1'
loop_
_atom_site_label
_atom_site_fract_x
_atom_site_fract_y
_atom_site_fract_z
_atom_site_occupancy
Ba1 0.000 0.000 0.000 1
Sr1 0.129 0.624 0.624 1
Sr2 0.624 0.129 0.624 1
Sr3 0.624 0.624 0.129 1
Sr4 0.624 0.624 0.624 1
Ta1 0.250 0.250 0.250 1
```

Calculated values
energy relative to the elements = 0.963 eV per atom

---

# Zr2TaOs

An optimized crystal structure of Zr2TaOs (GGA-PBEsol, the Alexandria database).

Structure (CIF):
```
data_Zr2TaOs
_cell_length_a 5.583
_cell_length_b 5.583
_cell_length_c 5.583
_cell_angle_alpha 146.27
_cell_angle_beta 130.28
_cell_angle_gamma 61.43
_space_group_name_H-M_alt 'P 1'
_space_group_IT_number 1
_space_group_name_Hall 'P 1'
loop_
_atom_site_label
_atom_site_fract_x
_atom_site_fract_y
_atom_site_fract_z
_atom_site_occupancy
Zr1 0.000 0.000 0.000 1
Zr2 0.734 0.234 0.500 1
Ta1 0.468 0.468 0.000 1
Os1 0.242 0.742 0.500 1
```

Calculated values
energy relative to the elements = -0.241 eV per atom

---

| no. | magnetic moment (μB per formula unit) |
| --- | --- |
| 1 | 0.000 |
| 2 | 0.000 |
| 3 | 0.000 |
| 4 | 0.000 |
| 5 | 4.555 |
| 6 | 0.000 |